[1]
BiBNO2: relaxed, GGA-PBE.

Cell lengths 4.223, 4.223, 4.419 Å; angles 90.00, 90.00, 90.00 degrees
Space group P4/mmm (No. 123)
Unique sites:
Bi  0.000  0.000  0.000 (multiplicity 1)
B  0.500  0.500  0.500 (multiplicity 1)
N  0.000  0.000  0.500 (multiplicity 1)
O  0.000  0.500  0.000 (multiplicity 2)

The calculation puts the spin magnetization at 1.3 μB per formula unit. The value obtained for the density of states at the Fermi level is 0.41 states/eV per atom. The uncorrected formation energy is 1337 meV/atom. The calculation puts the electronic total energy at -4.42 eV per atom.


[2]
HfI2O8: relaxed, GGA-PBE.

Cell lengths 6.1299, 6.1299, 6.1096 Å; angles 90.00, 90.00, 120.00 degrees
Space group P-3m1 (No. 164)
Unique sites:
Hf  0.0000  0.0000  0.0000 (multiplicity 1)
I  0.3333  0.6667  0.7362 (multiplicity 2)
O  0.1564  0.3128  0.7971 (multiplicity 6)
O  0.3333  0.6667  0.4462 (multiplicity 2)

The value obtained for the offset from the most stable computed form is 33 meV/atom. The calculation puts the spin magnetization at 1.2 μB per formula unit. The value obtained for the density of states at the Fermi level is 0.28 states/eV per atom. The uncorrected formation energy is -863 meV/atom. The calculation puts the electronic total energy at -5.66 eV per atom.


[3]
ReOsSe: relaxed, GGA-PBE.

Cell lengths 2.918, 3.964, 7.955 Å; angles 90.00, 90.00, 90.00 degrees
Space group Imm2 (No. 44)
Unique sites:
Re  0.000  0.000  0.000 (multiplicity 2)
Os  0.000  0.000  0.347 (multiplicity 2)
Se  0.000  0.000  0.673 (multiplicity 2)

The value obtained for the offset from the most stable computed form is 344 meV/atom. The calculation puts the spin magnetization at 0.0 μB per formula unit. The value obtained for the density of states at the Fermi level is 0.75 states/eV per atom. The uncorrected formation energy is 747 meV/atom. The calculation puts the electronic total energy at -8.31 eV per atom.


[4]
ZrAsW2Au: relaxed, GGA-PBE.

Cell lengths 4.598, 4.598, 4.950 Å; angles 90.00, 90.00, 90.00 degrees
Space group P4/mmm (No. 123)
Unique sites:
Zr  0.000  0.000  0.000 (multiplicity 1)
As  0.000  0.000  0.500 (multiplicity 1)
W  0.000  0.500  0.500 (multiplicity 2)
Au  0.500  0.500  0.000 (multiplicity 1)

The calculation puts the spin magnetization at 0.0 μB per formula unit. Its energy of formation is 1.04 eV per atom. The value obtained for the density of states at the Fermi level is 1.39 states/eV per atom. The calculation puts the electronic total energy at -7.44 eV per atom.


[5]
MnNb3Ge: relaxed, GGA-PBE.

Cell lengths 4.583, 4.583, 4.583 Å; angles 90.00, 90.00, 90.00 degrees
Space group Pm-3m (No. 221)
Unique sites:
Mn  0.000  0.000  0.000 (multiplicity 1)
Nb  0.000  0.000  0.500 (multiplicity 3)
Ge  0.500  0.500  0.500 (multiplicity 1)

The value obtained for the offset from the most stable computed form is 0 meV/atom. The calculation puts the spin magnetization at 0.0 μB per formula unit. Its energy of formation is 0.62 eV per atom. The value obtained for the density of states at the Fermi level is 0.71 states/eV per atom. The calculation puts the electronic total energy at -8.18 eV per atom.


[6]
Ba6Hg3Pd: relaxed, GGA-PBE.

Cell lengths 8.293, 9.067, 14.306 Å; angles 90.00, 122.03, 90.00 degrees
Space group P2_1/c (No. 14)
Unique sites:
Ba  0.086  0.045  0.241 (multiplicity 4)
Ba  0.226  0.690  0.074 (multiplicity 4)
Ba  0.380  0.170  0.066 (multiplicity 4)
Hg  0.316  0.118  0.763 (multiplicity 4)
Hg  0.500  0.000  0.500 (multiplicity 2)
Pd  0.000  0.000  0.000 (multiplicity 2)

The calculation puts the spin magnetization at 0.0 μB per formula unit. Its energy of formation is -0.40 eV per atom. The value obtained for the density of states at the Fermi level is 0.91 states/eV per atom. The calculation puts the electronic total energy at -2.17 eV per atom.


[7]
Ac6LaNd12: relaxed, GGA-PBE.

Cell lengths 14.0927, 14.0927, 13.2498 Å; angles 90.00, 90.00, 120.00 degrees
Space group R-3m (No. 166, hexagonal axes)
Unique sites:
Ac  0.0397  0.5198  0.1247 (multiplicity 18)
La  0.0000  0.0000  0.5000 (multiplicity 3)
Nd  0.0000  0.2521  0.0000 (multiplicity 18)
Nd  0.0933  0.1866  0.7619 (multiplicity 18)

The calculation puts the spin magnetization at 0.0 μB per formula unit. Its energy of formation is 0.22 eV per atom. The value obtained for the density of states at the Fermi level is 1.94 states/eV per atom. The calculation puts the electronic total energy at -4.34 eV per atom.


[8]
CsLaSe2: relaxed, GGA-PBE.

Cell lengths 8.365, 5.050, 15.121 Å; angles 90.00, 90.00, 90.00 degrees
Space group Pnma (No. 62)
Unique sites:
Cs  0.089  0.250  0.132 (multiplicity 4)
La  0.075  0.750  0.383 (multiplicity 4)
Se  0.162  0.250  0.754 (multiplicity 4)
Se  0.177  0.250  0.469 (multiplicity 4)

The calculation puts the spin magnetization at 0.0 μB per formula unit. The value obtained for the density of states at the Fermi level is 0.00 states/eV per atom. The uncorrected formation energy is -1716 meV/atom. The calculation puts the electronic total energy at -4.90 eV per atom.


[9]
MnAlFe2C: relaxed, GGA-PBE.

Cell lengths 3.774, 3.774, 3.786 Å; angles 90.00, 90.00, 90.00 degrees
Space group P4/mmm (No. 123)
Unique sites:
Mn  0.000  0.000  0.000 (multiplicity 1)
Al  0.500  0.500  0.000 (multiplicity 1)
Fe  0.000  0.500  0.500 (multiplicity 2)
C  0.000  0.000  0.500 (multiplicity 1)

The calculation puts the spin magnetization at 3.9 μB per formula unit. Its energy of formation is -0.17 eV per atom. The value obtained for the density of states at the Fermi level is 0.68 states/eV per atom. The calculation puts the electronic total energy at -7.99 eV per atom.


[10]
Ca2OsCO: relaxed, GGA-PBE.

Cell lengths 5.406, 5.406, 3.798 Å; angles 90.00, 90.00, 90.00 degrees
Space group P4/mmm (No. 123)
Unique sites:
Ca  0.000  0.500  0.000 (multiplicity 2)
Os  0.000  0.000  0.000 (multiplicity 1)
C  0.000  0.000  0.500 (multiplicity 1)
O  0.500  0.500  0.500 (multiplicity 1)

The calculation puts the spin magnetization at 0.1 μB per formula unit. The value obtained for the density of states at the Fermi level is 0.73 states/eV per atom. The uncorrected formation energy is 173 meV/atom. The calculation puts the electronic total energy at -5.71 eV per atom.


[11]
Ge2Bi2O7: relaxed, GGA-PBE.

Cell lengths 7.338, 9.458, 4.991 Å; angles 90.00, 100.56, 90.00 degrees
Space group C2/m (No. 12)
Unique sites:
Ge  0.226  0.000  0.421 (multiplicity 4)
Bi  0.000  0.305  0.000 (multiplicity 4)
O  0.000  0.000  0.500 (multiplicity 2)
O  0.114  0.500  0.263 (multiplicity 4)
O  0.249  0.344  0.764 (multiplicity 8)

The calculation puts the spin magnetization at 0.0 μB per formula unit. The value obtained for the density of states at the Fermi level is 0.00 states/eV per atom. The uncorrected formation energy is -1486 meV/atom. The calculation puts the electronic total energy at -6.19 eV per atom.


[12]
CaAg2PdCl6: relaxed, GGA-PBE.

Cell lengths 5.820, 7.248, 7.949 Å; angles 117.11, 109.17, 90.08 degrees
Space group P1 (No. 1)
Unique sites:
Ca  0.000  0.000  0.000 (multiplicity 1)
Ag  0.262  0.904  0.485 (multiplicity 1)
Ag  0.741  0.420  0.518 (multiplicity 1)
Pd  0.500  0.494  0.999 (multiplicity 1)
Cl  0.005  0.165  0.378 (multiplicity 1)
Cl  0.365  0.357  0.174 (multiplicity 1)
Cl  0.372  0.809  0.171 (multiplicity 1)
Cl  0.625  0.639  0.827 (multiplicity 1)
Cl  0.639  0.185  0.826 (multiplicity 1)
Cl  0.996  0.788  0.622 (multiplicity 1)

The calculation puts the spin magnetization at 0.0 μB per formula unit. The uncorrected formation energy is -989 meV/atom. The calculation puts the electronic total energy at -3.39 eV per atom.


[13]
MnSb2Pt: relaxed, GGA-PBE.

Cell lengths 4.613, 4.613, 16.847 Å; angles 90.00, 90.00, 90.00 degrees
Space group I-42d (No. 122)
Unique sites:
Mn  0.000  0.000  0.000 (multiplicity 4)
Sb  0.249  0.250  0.125 (multiplicity 8)
Pt  0.000  0.000  0.500 (multiplicity 4)

The value obtained for the offset from the most stable computed form is 203 meV/atom. The calculation puts the spin magnetization at 3.5 μB per formula unit. The value obtained for the density of states at the Fermi level is 0.75 states/eV per atom. The uncorrected formation energy is 39 meV/atom. The calculation puts the electronic total energy at -5.82 eV per atom.


[14]
MoRu: relaxed, GGA-PBE.

Cell lengths 2.7742, 2.7742, 8.9909 Å; angles 90.00, 90.00, 120.00 degrees
Space group P-3m1 (No. 164)
Unique sites:
Mo  0.3333  0.6667  0.3625 (multiplicity 2)
Ru  0.3333  0.6667  0.8768 (multiplicity 2)

The calculation puts the spin magnetization at 0.0 μB per formula unit. Its energy of formation is 0.11 eV per atom. The value obtained for the density of states at the Fermi level is 1.15 states/eV per atom. The calculation puts the electronic total energy at -9.94 eV per atom.


[15]
PrPd3Pb3: relaxed, GGA-PBE.

Cell lengths 7.461, 7.461, 7.461 Å; angles 90.00, 90.00, 90.00 degrees
Space group Pm-3n (No. 223)
Unique sites:
Pr  0.000  0.000  0.000 (multiplicity 2)
Pd  0.000  0.250  0.500 (multiplicity 6)
Pb  0.000  0.500  0.250 (multiplicity 6)

The value obtained for the offset from the most stable computed form is 474 meV/atom. The calculation puts the spin magnetization at 0.0 μB per formula unit. Its energy of formation is 0.07 eV per atom. The value obtained for the density of states at the Fermi level is 0.76 states/eV per atom. The calculation puts the electronic total energy at -4.43 eV per atom.


[16]
Ba2TlP: relaxed, GGA-PBE.

Cell lengths 5.336, 5.336, 9.521 Å; angles 90.00, 90.00, 90.00 degrees
Space group I4/mmm (No. 139)
Unique sites:
Ba  0.000  0.500  0.250 (multiplicity 4)
Tl  0.000  0.000  0.000 (multiplicity 2)
P  0.000  0.000  0.500 (multiplicity 2)

The value obtained for the offset from the most stable computed form is 173 meV/atom. The calculation puts the spin magnetization at 0.0 μB per formula unit. Its energy of formation is -0.46 eV per atom. The value obtained for the density of states at the Fermi level is 0.65 states/eV per atom. The calculation puts the electronic total energy at -3.36 eV per atom.


[17]
KTbAu2I6: relaxed, GGA-PBE.

Cell lengths 7.928, 7.936, 9.375 Å; angles 65.06, 65.06, 60.04 degrees
Space group P-1 (No. 2)
Unique sites:
K  0.000  0.000  0.000 (multiplicity 1)
Tb  0.500  0.500  0.500 (multiplicity 1)
Au  0.237  0.235  0.291 (multiplicity 2)
I  0.114  0.734  0.722 (multiplicity 2)
I  0.267  0.570  0.277 (multiplicity 2)
I  0.429  0.115  0.723 (multiplicity 2)

The calculation puts the spin magnetization at 0.0 μB per formula unit. The value obtained for the density of states at the Fermi level is 0.00 states/eV per atom. The uncorrected formation energy is -812 meV/atom. The calculation puts the electronic total energy at -2.97 eV per atom.


[18]
AgIrAu2O: relaxed, GGA-PBE.

Cell lengths 4.409, 4.409, 4.262 Å; angles 90.00, 90.00, 90.00 degrees
Space group P4/mmm (No. 123)
Unique sites:
Ag  0.000  0.000  0.000 (multiplicity 1)
Ir  0.500  0.500  0.000 (multiplicity 1)
Au  0.000  0.500  0.500 (multiplicity 2)
O  0.000  0.000  0.500 (multiplicity 1)

The calculation puts the spin magnetization at 0.4 μB per formula unit. The value obtained for the density of states at the Fermi level is 0.94 states/eV per atom. The uncorrected formation energy is 779 meV/atom. The calculation puts the electronic total energy at -3.87 eV per atom.